meta-GGA SCAN TlSe2BrN, single point on PBEsol structure; total DFT energy (no corrections) = -0.9921 Ha/atom; total magnetic moment = 5.1 μB per formula unit; formation energy without anion corrections = 1.2562 eV/atom
1.0
5.455 0.000 0.000
0.000 5.455 0.000
0.000 0.000 4.219
Tl Se Br N
1 2 1 1
Cartesian
0.000 0.000 0.000 Tl
0.000 2.727 0.000 Se
2.727 0.000 0.000 Se
2.727 2.727 2.110 Br
0.000 0.000 2.110 N

meta-GGA SCAN YSeBr2N, single point on PBEsol structure; total DFT energy (no corrections) = -0.7148 Ha/atom; total magnetic moment = 4.0 μB per formula unit; formation energy without anion corrections = -0.2240 eV/atom
1.0
5.515 0.000 0.000
0.000 5.515 0.000
0.000 0.000 5.519
Y Se Br N
1 1 2 1
Cartesian
0.000 0.000 0.000 Y
0.000 0.000 2.759 Se
0.000 2.757 0.000 Br
2.757 0.000 0.000 Br
2.757 2.757 2.759 N

meta-GGA SCAN ZrSeBr2N, single point on PBEsol structure; total DFT energy (no corrections) = -0.7033 Ha/atom; total magnetic moment = 1.5 μB per formula unit; formation energy without anion corrections = 0.6585 eV/atom
1.0
4.400 0.000 0.000
0.000 4.400 0.000
0.000 0.000 4.638
Zr Se Br N
1 1 2 1
Cartesian
0.000 0.000 0.000 Zr
2.200 2.200 0.000 Se
0.000 2.200 2.319 Br
2.200 0.000 2.319 Br
2.200 2.200 2.319 N

meta-GGA SCAN Sr2BrN, single point on PBEsol structure; total DFT energy (no corrections) = -0.7220 Ha/atom; total magnetic moment = 0.0 μB per formula unit; formation energy without anion corrections = -1.3218 eV/atom
1.0
-3.567 3.567 4.326
3.567 -3.567 4.326
3.567 3.567 -4.326
Sr Br N
4 2 2
Cartesian
5.351 1.205 -1.082 Sr
1.205 1.784 1.082 Sr
-1.784 2.362 3.245 Sr
2.362 1.784 5.408 Sr
3.567 0.000 2.163 Br
0.000 0.000 4.326 Br
0.000 0.000 0.000 N
0.000 3.567 2.163 N

meta-GGA SCAN SrBrN2, single point on PBEsol structure; total DFT energy (no corrections) = -0.5235 Ha/atom; total magnetic moment = 5.0 μB per formula unit; formation energy without anion corrections = 0.8331 eV/atom
1.0
0.000 3.311 3.311
3.311 0.000 3.311
3.311 3.311 0.000
Sr Br N
1 1 2
Cartesian
0.000 0.000 0.000 Sr
3.311 3.311 3.311 Br
1.656 1.656 1.656 N
4.967 4.967 4.967 N

meta-GGA SCAN SrBr3N, single point on PBEsol structure; total DFT energy (no corrections) = -0.6679 Ha/atom; total magnetic moment = 4.1 μB per formula unit; formation energy without anion corrections = -0.1842 eV/atom
1.0
5.948 0.000 0.000
0.000 5.948 0.000
0.000 0.000 5.948
Sr Br N
1 3 1
Cartesian
0.000 0.000 0.000 Sr
0.000 0.000 2.974 Br
0.000 2.974 0.000 Br
2.974 0.000 0.000 Br
2.974 2.974 2.974 N

meta-GGA SCAN SrZnBr2N, single point on PBEsol structure; total DFT energy (no corrections) = -0.6206 Ha/atom; total magnetic moment = 3.0 μB per formula unit; formation energy without anion corrections = -0.0866 eV/atom
1.0
5.892 0.000 0.000
0.000 5.892 0.000
0.000 0.000 4.997
Sr Zn Br N
1 1 2 1
Cartesian
0.000 0.000 0.000 Sr
2.946 2.946 2.499 Zn
0.000 2.946 0.000 Br
2.946 0.000 0.000 Br
0.000 0.000 2.499 N

meta-GGA SCAN TaBrN2, single point on PBEsol structure; total DFT energy (no corrections) = -0.9709 Ha/atom; total magnetic moment = 0.0 μB per formula unit; formation energy without anion corrections = -0.2630 eV/atom
1.0
1.594 0.920 6.320
-1.594 0.920 6.320
0.000 -1.840 6.320
Ta Br N
1 1 2
Cartesian
0.000 0.000 0.000 Ta
0.000 0.000 9.480 Br
0.000 0.000 7.362 N
0.000 0.000 11.599 N

meta-GGA SCAN Ta2BrN, single point on PBEsol structure; total DFT energy (no corrections) = -1.4813 Ha/atom; total magnetic moment = 0.0 μB per formula unit; formation energy without anion corrections = 0.1717 eV/atom
1.0
-2.403 2.403 6.183
2.403 -2.403 6.183
2.403 2.403 -6.183
Ta Br N
4 2 2
Cartesian
3.605 0.679 -1.546 Ta
0.679 1.202 1.546 Ta
-1.202 1.725 4.637 Ta
1.725 1.202 7.728 Ta
2.403 0.000 3.091 Br
0.000 0.000 6.183 Br
0.000 0.000 0.000 N
0.000 2.403 3.091 N

meta-GGA SCAN Ta2BrN, single point on PBEsol structure; total DFT energy (no corrections) = -1.4531 Ha/atom; total magnetic moment = 1.1 μB per formula unit; formation energy without anion corrections = 0.9392 eV/atom
1.0
0.000 3.014 3.014
3.014 0.000 3.014
3.014 3.014 0.000
Ta Br N
2 1 1
Cartesian
1.507 1.507 1.507 Ta
4.521 4.521 4.521 Ta
0.000 0.000 0.000 Br
3.014 3.014 3.014 N

meta-GGA SCAN TcBrN2, single point on PBEsol structure; total DFT energy (no corrections) = -0.6057 Ha/atom; total magnetic moment = 0.0 μB per formula unit; formation energy without anion corrections = 1.7936 eV/atom
1.0
1.499 0.866 6.759
-1.499 0.866 6.759
0.000 -1.731 6.759
Tc Br N
1 1 2
Cartesian
0.000 0.000 0.000 Tc
0.000 0.000 10.138 Br
0.000 0.000 1.812 N
0.000 0.000 18.465 N

meta-GGA SCAN TeBr2N, single point on PBEsol structure; total DFT energy (no corrections) = -0.7325 Ha/atom; total magnetic moment = 0.6 μB per formula unit; formation energy without anion corrections = 1.4320 eV/atom
1.0
1.636 0.944 9.518
-1.636 0.944 9.518
0.000 -1.889 9.518
Te Br N
1 2 1
Cartesian
0.000 0.000 0.000 Te
0.000 0.000 3.268 Br
0.000 0.000 25.287 Br
0.000 0.000 14.277 N